1.
Entry from the Alexandria database: an optimized crystal structure of PuPa2Rh2 (PBE). Values from VASP.

Cell and atoms, written as Quantum ESPRESSO input:
```
&SYSTEM
  ibrav = 0, nat = 10, ntyp = 3
/
ATOMIC_SPECIES
Pu 244.00 Pu.upf
Pa 231.04 Pa.upf
Rh 102.91 Rh.upf
CELL_PARAMETERS angstrom
5.6339 -1.7334 0.0000
5.6339 1.7334 0.0000
-2.2221 0.0000 10.4526
ATOMIC_POSITIONS crystal
Pu 0.2414 0.2414 0.2399
Pu 0.7586 0.7586 0.7601
Pa 0.3655 0.3655 0.9628
Pa 0.4006 0.4006 0.6218
Pa 0.5994 0.5994 0.3782
Pa 0.6345 0.6345 0.0372
Rh 0.0532 0.0532 0.8367
Rh 0.1122 0.1122 0.5819
Rh 0.8878 0.8878 0.4181
Rh 0.9468 0.9468 0.1633
```

Results
As for the total energy: -10.12 eV/atom. As for the total magnetic moment: 10.6 Bohr magnetons per cell. The energy of formation from the pure elements comes out at -2.57 eV per formula unit.


2.
Entry from the Alexandria database: an optimized crystal structure of PuPaRh (PBE). Values from VASP.

Cell and atoms, written as Quantum ESPRESSO input:
```
&SYSTEM
  ibrav = 0, nat = 3, ntyp = 3
/
ATOMIC_SPECIES
Pu 244.00 Pu.upf
Pa 231.04 Pa.upf
Rh 102.91 Rh.upf
CELL_PARAMETERS angstrom
4.7029 0.0000 0.0000
-2.3514 4.0728 0.0000
0.0000 0.0000 3.2273
ATOMIC_POSITIONS crystal
Pu 0.0000 0.0000 0.0000
Pa 0.3333 0.6667 0.3027
Rh 0.6667 0.3333 0.6285
```

Results
As for the total energy: -10.72 eV/atom. As for the total magnetic moment: 5.4 Bohr magnetons per cell. The energy of formation from the pure elements comes out at -0.99 eV per formula unit.


3.
Entry from the Alexandria database: an optimized crystal structure of PuPa4Rh (PBE). Values from VASP.

Cell and atoms, written as Quantum ESPRESSO input:
```
&SYSTEM
  ibrav = 0, nat = 24, ntyp = 3
/
ATOMIC_SPECIES
Pu 244.00 Pu.upf
Pa 231.04 Pa.upf
Rh 102.91 Rh.upf
CELL_PARAMETERS angstrom
8.2156 0.0000 0.0000
0.0000 9.6650 0.0000
-0.2858 0.0000 6.7795
ATOMIC_POSITIONS crystal
Pu 0.0301 0.2488 0.2243
Pu 0.0301 0.2512 0.7243
Pu 0.9699 0.7488 0.2757
Pu 0.9699 0.7512 0.7757
Pa 0.1698 0.0356 0.9118
Pa 0.1698 0.4644 0.4118
Pa 0.1791 0.0302 0.4057
Pa 0.1791 0.4698 0.9057
Pa 0.2589 0.7453 0.6309
Pa 0.2589 0.7547 0.1309
Pa 0.4051 0.2262 0.5888
Pa 0.4051 0.2738 0.0888
Pa 0.5949 0.7262 0.9112
Pa 0.5949 0.7738 0.4112
Pa 0.7411 0.2453 0.8691
Pa 0.7411 0.2547 0.3691
Pa 0.8209 0.5302 0.0943
Pa 0.8209 0.9698 0.5943
Pa 0.8302 0.5356 0.5882
Pa 0.8302 0.9644 0.0882
Rh 0.4880 0.5134 0.2886
Rh 0.4880 0.9866 0.7886
Rh 0.5120 0.0134 0.2114
Rh 0.5120 0.4866 0.7114
```

Results
As for the total energy: -10.09 eV/atom. As for the total magnetic moment: 15.4 Bohr magnetons per cell. The energy of formation from the pure elements comes out at -0.88 eV per formula unit.


4.
Entry from the Alexandria database: an optimized crystal structure of Pu6PaRh5 (PBE). Values from VASP.

Cell and atoms, written as Quantum ESPRESSO input:
```
&SYSTEM
  ibrav = 0, nat = 12, ntyp = 3
/
ATOMIC_SPECIES
Pu 244.00 Pu.upf
Pa 231.04 Pa.upf
Rh 102.91 Rh.upf
CELL_PARAMETERS angstrom
-2.4645 3.4937 7.2167
2.4645 -3.4937 7.2167
2.4645 3.4937 -7.2167
ATOMIC_POSITIONS crystal
Pu 0.0626 0.3249 0.7377
Pu 0.2301 0.0000 0.2301
Pu 0.4128 0.6751 0.7377
Pu 0.5872 0.3249 0.2623
Pu 0.7699 0.0000 0.7699
Pu 0.9374 0.6751 0.2623
Pa 0.5000 0.5000 0.0000
Rh 0.0000 0.5000 0.5000
Rh 0.1669 0.1669 0.0000
Rh 0.3475 0.8475 0.5000
Rh 0.6525 0.1525 0.5000
Rh 0.8331 0.8331 0.0000
```

Results
As for the total energy: -11.35 eV/atom. As for the total magnetic moment: 32.5 Bohr magnetons per cell. The energy of formation from the pure elements comes out at -3.95 eV per formula unit.


5.
Entry from the Alexandria database: an optimized crystal structure of PuPaRh (PBE). Values from VASP.

Cell and atoms, written as Quantum ESPRESSO input:
```
&SYSTEM
  ibrav = 0, nat = 6, ntyp = 3
/
ATOMIC_SPECIES
Pu 244.00 Pu.upf
Pa 231.04 Pa.upf
Rh 102.91 Rh.upf
CELL_PARAMETERS angstrom
3.5610 0.0000 0.0000
0.5303 5.0269 0.0000
0.7252 1.8456 6.9447
ATOMIC_POSITIONS crystal
Pu 0.2258 0.2390 0.4721
Pu 0.7742 0.7610 0.5279
Pa 0.4963 0.3091 0.8049
Pa 0.5037 0.6909 0.1951
Rh 0.0747 0.7980 0.8816
Rh 0.9253 0.2020 0.1184
```

Results
As for the total energy: -10.77 eV/atom. As for the total magnetic moment: 10.2 Bohr magnetons per cell. The energy of formation from the pure elements comes out at -1.14 eV per formula unit.


6.
Entry from the Alexandria database: an optimized crystal structure of Pu2PaRh2 (PBE). Values from VASP.

Cell and atoms, written as Quantum ESPRESSO input:
```
&SYSTEM
  ibrav = 0, nat = 5, ntyp = 3
/
ATOMIC_SPECIES
Pu 244.00 Pu.upf
Pa 231.04 Pa.upf
Rh 102.91 Rh.upf
CELL_PARAMETERS angstrom
3.0154 -3.0810 0.0000
3.0154 3.0810 0.0000
-1.7896 0.0000 6.2047
ATOMIC_POSITIONS crystal
Pu 0.2313 0.7687 0.0000
Pu 0.7687 0.2313 0.0000
Pa 0.5000 0.5000 0.5000
Rh 0.1865 0.1865 0.6656
Rh 0.8135 0.8135 0.3344
```

Results
As for the total energy: -10.88 eV/atom. As for the total magnetic moment: 11.5 Bohr magnetons per cell. The energy of formation from the pure elements comes out at -1.52 eV per formula unit.


7.
Entry from the Alexandria database: an optimized crystal structure of Pu3PaRh2 (PBE). Values from VASP.

Cell and atoms, written as Quantum ESPRESSO input:
```
&SYSTEM
  ibrav = 0, nat = 12, ntyp = 3
/
ATOMIC_SPECIES
Pu 244.00 Pu.upf
Pa 231.04 Pa.upf
Rh 102.91 Rh.upf
CELL_PARAMETERS angstrom
5.9431 -5.1490 0.0000
5.9431 5.1490 0.0000
-0.8318 0.0000 3.8731
ATOMIC_POSITIONS crystal
Pu 0.0540 0.0540 0.2839
Pu 0.2614 0.2614 0.9386
Pu 0.4441 0.4441 0.7145
Pu 0.5559 0.5559 0.2855
Pu 0.7386 0.7386 0.0614
Pu 0.9460 0.9460 0.7161
Pa 0.0000 0.5000 0.5000
Pa 0.5000 0.0000 0.5000
Rh 0.1600 0.6635 0.2037
Rh 0.3365 0.8400 0.7963
Rh 0.6635 0.1600 0.2037
Rh 0.8400 0.3365 0.7963
```

Results
As for the total energy: -11.40 eV/atom. As for the total magnetic moment: 10.2 Bohr magnetons per cell. The energy of formation from the pure elements comes out at -1.19 eV per formula unit.


8.
Entry from the Alexandria database: an optimized crystal structure of PuPa4Rh (PBE). Values from VASP.

Cell and atoms, written as Quantum ESPRESSO input:
```
&SYSTEM
  ibrav = 0, nat = 12, ntyp = 3
/
ATOMIC_SPECIES
Pu 244.00 Pu.upf
Pa 231.04 Pa.upf
Rh 102.91 Rh.upf
CELL_PARAMETERS angstrom
4.6176 -6.8643 0.0000
4.6176 6.8643 0.0000
-4.5511 0.0000 4.7298
ATOMIC_POSITIONS crystal
Pu 0.1451 0.8549 0.7500
Pu 0.8549 0.1451 0.2500
Pa 0.0559 0.4778 0.7392
Pa 0.1897 0.2703 0.2788
Pa 0.2703 0.1897 0.7788
Pa 0.4778 0.0559 0.2392
Pa 0.5222 0.9441 0.7608
Pa 0.7297 0.8103 0.2212
Pa 0.8103 0.7297 0.7212
Pa 0.9441 0.5222 0.2608
Rh 0.3940 0.6060 0.2500
Rh 0.6060 0.3940 0.7500
```

Results
As for the total energy: -10.06 eV/atom. As for the total magnetic moment: 0.0 Bohr magnetons per cell. The energy of formation from the pure elements comes out at -0.71 eV per formula unit.